[1]
RbNaLi3 | PBE-GGA | relaxed

Unit cell a=6.113 b=6.113 c=6.113 alpha=90.00 beta=90.00 gamma=90.00
Fractional positions:
Li: 0.000 0.500 0.000
Li: 0.000 0.000 0.500
Li: 0.500 0.000 0.000
Na: 0.500 0.500 0.500
Rb: 0.000 0.000 0.000

- DFT formation energy (eV/f.u.) = 3.08
- DOS at the Fermi energy (states/eV/cell) = 4.30
- E above lowest polymorph (meV per atom) = 339

***

[2]
ZrAl2Cl | PBE-GGA | relaxed

Unit cell a=5.635 b=5.635 c=5.635 alpha=139.51 beta=139.51 gamma=58.60
Fractional positions:
Cl: 0.250 0.750 0.500
Zr: 0.750 0.250 0.500
Al: 0.000 0.000 0.000
Al: 0.500 0.500 0.000

- formation energy without anion corrections (kJ/mol of atoms) = -16.3
- DOS at the Fermi energy (states/eV/cell) = 2.83
- E above lowest polymorph (meV per atom) = 267

***

[3]
TbCe6Pb10 | PBE-GGA | relaxed

Unit cell a=6.537 b=9.548 c=9.548 alpha=120.00 beta=90.00 gamma=90.00
Fractional positions:
Ce: 0.738 0.000 0.614
Ce: 0.738 0.614 0.000
Ce: 0.738 0.386 0.386
Ce: 0.262 0.000 0.386
Ce: 0.262 0.386 0.000
Ce: 0.262 0.614 0.614
Pb: 0.500 0.667 0.333
Pb: 0.786 0.000 0.266
Pb: 0.500 0.333 0.667
Pb: 0.214 0.266 0.266
Pb: 0.214 0.734 0.000
Pb: 0.786 0.266 0.000
Pb: 0.786 0.734 0.734
Pb: 0.000 0.667 0.333
Pb: 0.214 0.000 0.734
Pb: 0.000 0.333 0.667
Tb: 0.500 0.000 0.000

- DFT formation energy (eV/f.u.) = -5.72
- DOS at the Fermi energy (states/eV/cell) = 38.52

***

[4]
Pm2P3Pt6 | PBE-GGA | relaxed

Unit cell a=4.149 b=7.398 c=7.398 alpha=120.00 beta=90.00 gamma=90.00
Fractional positions:
Pt: 0.000 0.000 0.788
Pt: 0.000 0.212 0.212
Pt: 0.000 0.788 0.000
Pt: 0.500 0.677 0.677
Pt: 0.500 0.323 0.000
Pt: 0.500 0.000 0.323
P: 0.500 0.363 0.363
P: 0.500 0.637 0.000
P: 0.500 0.000 0.637
Pm: 0.000 0.333 0.667
Pm: 0.000 0.667 0.333

- DFT formation energy (eV/f.u.) = -10.66
- DOS at the Fermi energy (states/eV/cell) = 3.77

***

[5]
PbF2 | PBE-GGA | relaxed

Unit cell a=3.940 b=6.552 c=7.801 alpha=90.00 beta=90.00 gamma=90.00
Fractional positions:
Pb: 0.000 0.493 0.401
Pb: 0.000 0.993 0.099
Pb: 0.500 0.507 0.901
Pb: 0.500 0.007 0.599
F: 0.000 0.892 0.430
F: 0.500 0.108 0.930
F: 0.000 0.768 0.851
F: 0.000 0.392 0.070
F: 0.500 0.732 0.149
F: 0.000 0.268 0.649
F: 0.500 0.608 0.570
F: 0.500 0.232 0.351

- formation energy without anion corrections (kJ/mol of atoms) = -229.6
- DOS at the Fermi energy (states/eV/cell) = 0.00

***

[6]
NdTm2Tl2 | PBE-GGA | relaxed

Unit cell a=5.151 b=5.151 c=6.532 alpha=90.00 beta=90.00 gamma=120.00
Fractional positions:
Nd: 0.333 0.667 0.000
Tm: 0.333 0.667 0.500
Tm: 0.667 0.333 0.000
Tl: 0.000 0.000 0.248
Tl: 0.000 0.000 0.752

- DFT formation energy (eV/f.u.) = 0.41
- DOS at the Fermi energy (states/eV/cell) = 2.21
- E above lowest polymorph (meV per atom) = 346

***

[7]
Tb4PdSe2S | PBE-GGA | relaxed

Unit cell a=3.996 b=7.103 c=7.099 alpha=71.02 beta=90.00 gamma=90.00
Fractional positions:
Se: 0.000 0.000 0.000
Se: 0.500 0.000 0.500
Tb: 0.000 0.737 0.754
Tb: 0.500 0.739 0.259
Tb: 0.000 0.263 0.246
Tb: 0.500 0.261 0.741
S: 0.000 0.500 0.500
Pd: 0.500 0.500 0.000

- formation energy without anion corrections (kJ/mol of atoms) = -152.6
- DOS at the Fermi energy (states/eV/cell) = 3.98

***

[8]
CuPd4Pt2 | PBE-GGA | relaxed

Unit cell a=4.607 b=4.607 c=7.126 alpha=108.86 beta=108.86 gamma=90.00
Fractional positions:
Cu: 0.000 0.000 0.000
Pd: 0.000 0.500 0.000
Pd: 0.807 0.807 0.615
Pd: 0.500 0.000 0.000
Pd: 0.193 0.193 0.385
Pt: 0.607 0.607 0.215
Pt: 0.393 0.393 0.785

- DFT formation energy (eV/f.u.) = 4.96
- DOS at the Fermi energy (states/eV/cell) = 10.45
- E above lowest polymorph (meV per atom) = 624

***

[9]
K2UTeO8 | PBE-GGA | relaxed

Unit cell a=4.762 b=5.929 c=6.765 alpha=90.00 beta=90.00 gamma=94.33
Fractional positions:
O: 0.058 0.788 0.788
O: 0.942 0.212 0.788
O: 0.663 0.821 0.500
O: 0.421 0.102 0.000
O: 0.337 0.179 0.500
O: 0.058 0.788 0.212
O: 0.579 0.898 0.000
O: 0.942 0.212 0.212
Te: 0.000 0.000 0.000
U: 0.000 0.000 0.500
K: 0.500 0.500 0.766
K: 0.500 0.500 0.234

- formation energy without anion corrections (kJ/mol of atoms) = -167.5

***

[10]
TiGa4Pd2 | PBE-GGA | relaxed

Unit cell a=4.240 b=4.240 c=6.382 alpha=90.00 beta=90.00 gamma=90.00
Fractional positions:
Pd: 0.000 0.000 0.000
Pd: 0.500 0.500 0.500
Ti: 0.500 0.500 0.000
Ga: 0.500 0.000 0.269
Ga: 0.000 0.500 0.731
Ga: 0.500 0.000 0.731
Ga: 0.000 0.500 0.269

- DFT formation energy (eV/f.u.) = -3.90
- DOS at the Fermi energy (states/eV/cell) = 3.78

***

[11]
TlHg2N | PBE-GGA | relaxed

Unit cell a=6.659 b=6.659 c=6.721 alpha=60.30 beta=60.30 gamma=90.00
Fractional positions:
Tl: 0.000 0.000 0.000
Tl: 0.750 0.250 0.500
Hg: 0.875 0.749 0.750
Hg: 0.251 0.625 0.250
Hg: 0.499 0.125 0.250
Hg: 0.375 0.501 0.750
N: 0.500 0.500 0.000
N: 0.250 0.750 0.500

- formation energy without anion corrections (kJ/mol of atoms) = 68.1
- DOS at the Fermi energy (states/eV/cell) = 1.95
- E above lowest polymorph (meV per atom) = 52

***

[12]
In2RuPbCl | PBE-GGA | relaxed

Unit cell a=5.196 b=5.196 c=5.219 alpha=90.00 beta=90.00 gamma=90.00
Fractional positions:
In: 0.000 0.500 0.000
In: 0.500 0.000 0.000
Pb: 0.000 0.000 0.500
Cl: 0.500 0.500 0.500
Ru: 0.000 0.000 0.000

- formation energy without anion corrections (kJ/mol of atoms) = -23.6
- DOS at the Fermi energy (states/eV/cell) = 1.95

***

[13]
Zn2IrBr | PBE-GGA | relaxed

Unit cell a=3.019 b=3.019 c=7.851 alpha=90.00 beta=90.00 gamma=90.00
Fractional positions:
Br: 0.000 0.000 0.538
Ir: 0.500 0.500 0.786
Zn: 0.500 0.500 0.199
Zn: 0.000 0.000 0.978

- formation energy without anion corrections (kJ/mol of atoms) = 41.3
- DOS at the Fermi energy (states/eV/cell) = 3.80
- E above lowest polymorph (meV per atom) = 508

***

[14]
BaScCr2Mo | PBE-GGA | relaxed

Unit cell a=4.448 b=5.481 c=4.448 alpha=90.00 beta=90.00 gamma=90.00
Fractional positions:
Sc: 0.000 0.000 0.000
Ba: 0.000 0.500 0.000
Cr: 0.000 0.000 0.500
Cr: 0.500 0.000 0.000
Mo: 0.500 0.500 0.500

- DFT formation energy (eV/f.u.) = 11.77
- DOS at the Fermi energy (states/eV/cell) = 13.22

***

[15]
CdInP3 | PBE-GGA | relaxed

Unit cell a=5.020 b=5.020 c=5.020 alpha=90.00 beta=90.00 gamma=90.00
Fractional positions:
In: 0.500 0.500 0.500
P: 0.000 0.000 0.500
P: 0.500 0.000 0.000
P: 0.000 0.500 0.000
Cd: 0.000 0.000 0.000

- DFT formation energy (eV/f.u.) = 5.65
- DOS at the Fermi energy (states/eV/cell) = 8.51
- E above lowest polymorph (meV per atom) = 0

***

[16]
Zn2Ga3Ag | PBE-GGA | relaxed

Unit cell a=5.138 b=5.138 c=8.792 alpha=102.92 beta=102.92 gamma=105.42
Fractional positions:
Ga: 0.708 0.455 0.912
Ga: 0.878 0.622 0.250
Ga: 0.955 0.208 0.412
Ga: 0.122 0.378 0.750
Ga: 0.292 0.545 0.088
Ga: 0.045 0.792 0.588
Zn: 0.461 0.712 0.419
Zn: 0.788 0.039 0.081
Zn: 0.539 0.288 0.581
Zn: 0.212 0.961 0.919
Ag: 0.627 0.873 0.750
Ag: 0.373 0.127 0.250

- DFT formation energy (eV/f.u.) = 0.15
- DOS at the Fermi energy (states/eV/cell) = 2.52
- E above lowest polymorph (meV per atom) = 0

***

[17]
LiHoSc4S8 | PBE-GGA | relaxed

Unit cell a=7.595 b=7.595 c=7.707 alpha=60.48 beta=60.48 gamma=60.00
Fractional positions:
S: 0.751 0.751 0.268
S: 0.250 0.770 0.730
S: 0.231 0.751 0.268
S: 0.751 0.231 0.268
S: 0.770 0.250 0.730
S: 0.241 0.241 0.276
S: 0.758 0.758 0.725
S: 0.250 0.250 0.730
Sc: 0.627 0.627 0.119
Sc: 0.006 0.006 0.506
Sc: 0.006 0.483 0.506
Sc: 0.483 0.006 0.506
Ho: 0.003 0.003 0.990
Li: 0.374 0.374 0.878

- formation energy without anion corrections (kJ/mol of atoms) = -178.9
- DOS at the Fermi energy (states/eV/cell) = 0.00

***

[18]
PrEuAl | PBE-GGA | relaxed

Unit cell a=3.791 b=3.791 c=7.028 alpha=105.65 beta=105.65 gamma=90.00
Fractional positions:
Eu: 0.025 0.025 0.050
Al: 0.670 0.670 0.340
Pr: 0.305 0.305 0.610

- DFT formation energy (eV/f.u.) = -0.48
- DOS at the Fermi energy (states/eV/cell) = 2.97
- E above lowest polymorph (meV per atom) = 0

***

[19]
BaMg4Tc | PBE-GGA | relaxed

Unit cell a=5.948 b=5.948 c=5.948 alpha=60.00 beta=60.00 gamma=60.00
Fractional positions:
Tc: 0.750 0.750 0.750
Mg: 0.377 0.377 0.377
Mg: 0.377 0.377 0.868
Mg: 0.868 0.377 0.377
Mg: 0.377 0.868 0.377
Ba: 0.000 0.000 0.000

- DFT formation energy (eV/f.u.) = 2.59
- DOS at the Fermi energy (states/eV/cell) = 3.89

***

[20]
AuClO | PBE-GGA | relaxed

Unit cell a=3.970 b=6.563 c=6.319 alpha=68.50 beta=88.35 gamma=72.97
Fractional positions:
O: 0.808 0.384 0.454
O: 0.192 0.616 0.546
Au: 0.306 0.396 0.367
Au: 0.694 0.604 0.633
Cl: 0.581 0.818 0.854
Cl: 0.419 0.182 0.146

- formation energy without anion corrections (kJ/mol of atoms) = -1.8
- DOS at the Fermi energy (states/eV/cell) = 4.59